A plane-wave DFT calculation with GGA-PBE was carried out for Er3AgHg2 after structural relaxation. Values from VASP.

Calculated values
**E above lowest polymorph**: 0 meV/atom
**V**: 294.34 Å³/cell
**Formation enthalpy at 0 K**: -0.4373 eV per atom

Structure (Quantum ESPRESSO input):
```
&SYSTEM
  ibrav = 0, nat = 12, ntyp = 3
/
ATOMIC_SPECIES
Er 167.26 Er.upf
Ag 107.87 Ag.upf
Hg 200.59 Hg.upf
CELL_PARAMETERS angstrom
-4.3446 -0.6203 2.7452
1.5106 -3.6732 -3.3199
6.6371 -5.6169 9.2346
ATOMIC_POSITIONS crystal
Er 0.3333 0.6667 0.4176
Er 0.6667 0.3333 0.0857
Er 0.0000 0.0000 0.7469
Er 0.0000 0.0000 0.2531
Er 0.3333 0.6667 0.9143
Er 0.6667 0.3333 0.5824
Ag 0.3333 0.6667 0.6657
Ag 0.6667 0.3333 0.3343
Hg 0.0000 0.0000 0.5000
Hg 0.3333 0.6667 0.1686
Hg 0.6667 0.3333 0.8314
Hg 0.0000 0.0000 0.0000
```



A plane-wave DFT calculation with GGA-PBE was carried out for Er2AgHg after structural relaxation. Values from VASP.

Calculated values
**V**: 194.12 Å³/cell
**Formation enthalpy at 0 K**: -0.4079 eV per atom

Structure (Quantum ESPRESSO input):
```
&SYSTEM
  ibrav = 0, nat = 8, ntyp = 3
/
ATOMIC_SPECIES
Er 167.26 Er.upf
Ag 107.87 Ag.upf
Hg 200.59 Hg.upf
CELL_PARAMETERS angstrom
-1.4957 -3.2598 -0.6376
4.7037 -2.0929 -0.3343
-0.1345 -1.9232 10.1474
ATOMIC_POSITIONS crystal
Er 0.0000 0.2500 0.1207
Er 0.0000 0.7500 0.8793
Er 0.0000 0.2500 0.6293
Er 0.0000 0.7500 0.3707
Ag 0.5000 0.2500 0.8750
Ag 0.5000 0.7500 0.1250
Hg 0.5000 0.2500 0.3723
Hg 0.5000 0.7500 0.6277
```



A plane-wave DFT calculation with GGA-PBE was carried out for Er3AgHg after structural relaxation. Values from VASP.

Calculated values
**E above lowest polymorph**: 94 meV/atom
**V**: 268.37 Å³/cell
**Formation enthalpy at 0 K**: -0.2072 eV per atom

Structure (Quantum ESPRESSO input):
```
&SYSTEM
  ibrav = 0, nat = 10, ntyp = 3
/
ATOMIC_SPECIES
Er 167.26 Er.upf
Ag 107.87 Ag.upf
Hg 200.59 Hg.upf
CELL_PARAMETERS angstrom
3.5959 -0.0001 -0.0004
0.0025 10.3635 0.2418
0.0022 3.9752 7.2942
ATOMIC_POSITIONS crystal
Er 0.8629 0.3705 0.8319
Er 0.8631 0.9778 0.6716
Er 0.8634 0.5977 0.0410
Er 0.3635 0.0226 0.2365
Er 0.8634 0.6827 0.4030
Er 0.3634 0.3718 0.4563
Ag 0.3632 0.8183 0.0539
Ag 0.3628 0.1290 0.8341
Hg 0.3633 0.7193 0.6814
Hg 0.8634 0.2519 0.2545
```



A plane-wave DFT calculation with GGA-PBE was carried out for Er2AgHg6 after structural relaxation. Values from VASP.

Calculated values
**E above lowest polymorph**: 58 meV/atom
**V**: 211.30 Å³/cell
**Formation enthalpy at 0 K**: -0.1899 eV per atom

Structure (Quantum ESPRESSO input):
```
&SYSTEM
  ibrav = 0, nat = 9, ntyp = 3
/
ATOMIC_SPECIES
Er 167.26 Er.upf
Ag 107.87 Ag.upf
Hg 200.59 Hg.upf
CELL_PARAMETERS angstrom
-5.9154 0.2454 1.3421
-0.8459 -8.1794 -2.2323
6.9853 2.7191 3.6516
ATOMIC_POSITIONS crystal
Er 0.6792 0.6777 0.3554
Er 0.3208 0.3223 0.6446
Ag 0.0000 0.0000 0.0000
Hg 0.1659 0.4976 0.3292
Hg 0.8341 0.1683 0.6708
Hg 0.8341 0.5024 0.6708
Hg 0.5000 0.1681 0.0000
Hg 0.1659 0.8317 0.3292
Hg 0.5000 0.8319 0.0000
```



Number 1: total energy -3.294 eV/atom. Number 2: total energy -3.478 eV/atom. Number 3: total energy -3.576 eV/atom. Number 4: total energy -1.722 eV/atom.